1.
Density functional theory data (PBE) for a relaxed Li2YHg crystal.

```
Li2YHg
1.0
1.6519 0.9537 10.2122
-1.6519 0.9537 10.2122
0.0000 -1.9074 10.2122
Li Y Hg
2 1 1
Cartesian
0.0000 0.0000 7.4034
0.0000 0.0000 23.2333
0.0000 0.0000 0.0000
0.0000 0.0000 15.3183
```

The formation energy is -0.03 eV per atom. The electronic total energy comes out at -2.68 eV per atom. The density of states at the Fermi level comes out at 2.02 states/eV/cell. The symmetry is No. 166.



2.
Density functional theory data (PBE) for a relaxed LiYHg2 crystal.

```
LiYHg2
1.0
-2.4679 2.4679 3.5096
2.4679 -2.4679 3.5096
2.4679 2.4679 -3.5096
Li Y Hg
1 1 2
Cartesian
0.0000 0.0000 0.0000
2.4679 0.0000 1.7548
0.0000 0.0000 3.5096
0.0000 2.4679 1.7548
```

The formation energy is -0.35 eV per atom. The electronic total energy comes out at -2.60 eV per atom. The density of states at the Fermi level comes out at 0.89 states/eV/cell. The symmetry is No. 119.



3.
Density functional theory data (PBE) for a relaxed Li3Y2Hg4 crystal.

```
Li3Y2Hg4
1.0
4.8940 0.0000 0.0000
2.4468 4.4754 0.0000
0.0063 1.4452 8.9990
Li Y Hg
3 2 4
Cartesian
0.0000 0.0000 0.0000
2.4460 1.8424 3.8321
4.9011 4.0782 5.1669
2.4543 2.8695 6.9407
4.8928 3.0511 2.0583
2.4456 4.5703 3.1858
2.4456 1.4705 0.9985
4.9016 4.4500 8.0005
4.9015 1.3503 5.8132
```

The formation energy is -0.38 eV per atom. The electronic total energy comes out at -2.59 eV per atom. The density of states at the Fermi level comes out at 4.35 states/eV/cell. The symmetry is No. 2.



4.
Density functional theory data (PBE) for a relaxed LiYHg2 crystal.

```
LiYHg2
1.0
0.0000 3.5560 3.5560
3.5560 0.0000 3.5560
3.5560 3.5560 0.0000
Li Y Hg
1 1 2
Cartesian
0.0000 0.0000 0.0000
3.5560 3.5560 3.5560
1.7780 1.7780 1.7780
5.3340 5.3340 5.3340
```

The formation energy is -0.45 eV per atom. The electronic total energy comes out at -2.70 eV per atom. The density of states at the Fermi level comes out at 2.51 states/eV/cell. The symmetry is No. 225.



5.
Density functional theory data (PBE) for a relaxed LiYHg3 crystal.

```
LiYHg3
1.0
4.8470 0.0000 0.0000
0.0000 4.8470 0.0000
0.0000 0.0000 4.8470
Li Y Hg
1 1 3
Cartesian
0.0000 0.0000 0.0000
2.4235 2.4235 2.4235
0.0000 0.0000 2.4235
0.0000 2.4235 0.0000
2.4235 0.0000 0.0000
```

The formation energy is -0.18 eV per atom. The electronic total energy comes out at -2.04 eV per atom. The density of states at the Fermi level comes out at 3.46 states/eV/cell. The symmetry is No. 221.



6.
Density functional theory data (PBE) for a relaxed Li2YHg crystal.

```
Li2YHg
1.0
5.1150 -1.7254 0.0000
5.1150 1.7254 0.0000
-1.4104 0.0000 5.0784
Li Y Hg
2 1 1
Cartesian
2.0655 0.0000 1.0271
6.7541 0.0000 4.0513
-0.7052 0.0000 2.5392
5.1150 0.0000 0.0000
```

The formation energy is -0.19 eV per atom. The electronic total energy comes out at -2.84 eV per atom. The density of states at the Fermi level comes out at 2.39 states/eV/cell. The symmetry is No. 12.



Among the records above, which one has the highest electronic total energy?
LiYHg3



What is the formula in the second record?
LiYHg2